(1)
A plane-wave DFT calculation with PBE was carried out for a geometry-optimized RbMgZnCl5 structure.

Computed properties:
Symmetry: C2/c, No. 15
Formation energy from raw total energies, eV/atom: -1.621
DOS(E_F), states/eV/cell: 0.000

a b c (Å): 7.359 7.359 9.279
angles (deg): 103.57 103.57 105.74
Fractional positions:
1 Mg 0.000 0.000 0.000
2 Zn 0.691 0.309 0.250
3 Cl 0.620 0.769 0.927
4 Rb 0.659 0.341 0.750
5 Cl 0.064 0.936 0.250
6 Cl 0.904 0.304 0.104
7 Cl 0.231 0.380 0.573
8 Cl 0.304 0.904 0.604
9 Rb 0.341 0.659 0.250
10 Zn 0.309 0.691 0.750
11 Cl 0.096 0.696 0.896
12 Cl 0.696 0.096 0.396
13 Cl 0.936 0.064 0.750
14 Cl 0.380 0.231 0.073
15 Cl 0.769 0.620 0.427
16 Mg 0.000 0.000 0.500

***

(2)
A plane-wave DFT calculation with PBE was carried out for a geometry-optimized KAlCo2 structure.

Computed properties:
E_form, eV/f.u.: 1.426
Symmetry: Pm, No. 6
DOS(E_F), states/eV/cell: 3.515

a b c (Å): 3.443 2.712 8.374
angles (deg): 71.45 90.00 90.00
Last column: magnetic moment on the atom in μB.
Fractional positions:
1 Al 0.500 0.654 0.845  -0.01
2 Co 0.500 0.353 0.151  1.62
3 Co 0.000 0.979 0.024  1.34
4 K 0.000 0.514 0.480  -0.01

***

(3)
A plane-wave DFT calculation with PBE was carried out for a geometry-optimized CaRhSe2 structure.

Computed properties:
Symmetry: P4/mmm, No. 123
Formation energy from raw total energies, eV/atom: -0.705
DOS(E_F), states/eV/cell: 2.671
Excess energy over the best structure of this formula in the dataset, eV/atom: 0.207

a b c (Å): 4.765 4.765 3.354
angles (deg): 90.01 90.01 90.03
Fractional positions:
1 Rh 0.000 0.500 0.500
2 Se 0.000 0.000 0.000
3 Se 0.500 0.500 0.000
4 Ca 0.500 0.000 0.500